(1)
KFe2Tc | GGA-PBE | optimized geometry

a = 7.042 Å, b = 7.042 Å, c = 5.868 Å
α = 53.13°, β = 53.13°, γ = 90.00°
Positions (direct):
1 Tc 0.750 0.250 0.500
2 Fe 0.703 0.125 0.250
3 Tc 0.000 0.000 0.000
4 Fe 0.875 0.953 0.750
5 K 0.500 0.500 0.000
6 Fe 0.047 0.625 0.250
7 Fe 0.375 0.297 0.750
8 K 0.250 0.750 0.500

M_tot = 1.8 μB per cell
crystal system = tetragonal
mass density = 5.4 g/cm³
E_form = 1.493 eV per atom
N(E_F) = 15.64 states/eV/cell

---

(2)
KFeTc2 | GGA-PBE | optimized geometry

a = 10.388 Å, b = 10.388 Å, c = 10.388 Å
α = 15.44°, β = 15.44°, γ = 15.44°
Positions (direct):
1 K 0.751 0.751 0.751
2 Fe 0.513 0.513 0.513
3 Tc 0.251 0.251 0.251
4 Tc 0.985 0.985 0.985

M_tot = 2.6 μB per cell
crystal system = trigonal
mass density = 7.0 g/cm³
E_form = 0.754 eV per atom
N(E_F) = 4.13 states/eV/cell

---

(3)
KFeTc2 | GGA-PBE | optimized geometry

a = 2.677 Å, b = 4.867 Å, c = 5.229 Å
α = 90.00°, β = 90.00°, γ = 90.00°
Positions (direct):
1 Tc 0.000 0.000 0.000
2 Tc 0.500 0.500 0.000
3 Fe 0.500 0.000 0.500
4 K 0.000 0.500 0.500

M_tot = 3.0 μB per cell
crystal system = orthorhombic
mass density = 7.1 g/cm³
E_form = 1.396 eV per atom
N(E_F) = 5.85 states/eV/cell